1.
ZrNpAlO6 | Alexandria | GGA-PBE | optimized geometry; formation energy (no corrections) = -26.662 eV/f.u.; magnetic moment = 2.00 μB per formula unit
1.0
5.192 0.000 0.000
-2.596 4.496 0.000
0.000 0.000 9.422
Zr Np Al O
2 2 2 12
direct
0.333 0.667 0.250
0.667 0.333 0.750
0.000 0.000 0.000
0.000 0.000 0.500
0.333 0.667 0.750
0.667 0.333 0.250
0.026 0.354 0.635
0.026 0.672 0.865
0.328 0.354 0.865
0.328 0.974 0.635
0.354 0.026 0.135
0.354 0.328 0.365
0.646 0.672 0.635
0.646 0.974 0.865
0.672 0.026 0.365
0.672 0.646 0.135
0.974 0.328 0.135
0.974 0.646 0.365

2.
NpAl11Os | Alexandria | GGA-PBE | optimized geometry; magnetic moment = 4.29 μB per formula unit; DFT formation energy = -0.16 eV per atom
1.0
2.606 -6.315 0.000
2.606 6.315 0.000
-2.527 0.000 6.622
Np Al Os
1 11 1
direct
0.000 0.000 0.000
0.000 0.000 0.500
0.000 0.500 0.000
0.017 0.362 0.358
0.286 0.499 0.780
0.362 0.017 0.358
0.499 0.286 0.780
0.500 0.000 0.000
0.501 0.714 0.220
0.638 0.983 0.642
0.714 0.501 0.220
0.983 0.638 0.642
0.500 0.500 0.500

3.
NpAl2Os | Alexandria | GGA-PBE | optimized geometry; magnetic moment = 4.15 μB per formula unit; DFT formation energy = -0.20 eV per atom
1.0
3.030 0.000 0.000
0.000 3.030 0.000
0.000 0.000 7.508
Np Al Os
1 2 1
direct
0.000 0.000 0.000
0.500 0.500 0.311
0.500 0.500 0.689
0.000 0.000 0.500

4.
Np2AlOs | Alexandria | GGA-PBE | optimized geometry; magnetic moment = 5.68 μB per formula unit; DFT formation energy = 0.40 eV per atom
1.0
1.406 0.812 11.149
-1.406 0.812 11.149
0.000 -1.624 11.149
Np Al Os
2 1 1
direct
0.092 0.092 0.092
0.908 0.908 0.908
0.000 0.000 0.000
0.500 0.500 0.500

5.
NpAl2Os | Alexandria | GGA-PBE | optimized geometry; magnetic moment = 3.13 μB per formula unit; DFT formation energy = 0.04 eV per atom
1.0
0.000 3.247 3.247
3.247 0.000 3.247
3.247 3.247 0.000
Np Al Os
1 2 1
direct
0.000 0.000 0.000
0.250 0.250 0.250
0.750 0.750 0.750
0.500 0.500 0.500

6.
NpAlOsRu | Alexandria | GGA-PBE | optimized geometry; magnetic moment = 2.61 μB per formula unit; DFT formation energy = -0.22 eV per atom
1.0
0.000 3.219 3.219
3.219 0.000 3.219
3.219 3.219 0.000
Np Al Os Ru
1 1 1 1
direct
0.000 0.000 0.000
0.500 0.500 0.500
0.250 0.250 0.250
0.750 0.750 0.750

7.
NpScAlOs | Alexandria | GGA-PBE | optimized geometry; magnetic moment = 3.22 μB per formula unit; DFT formation energy = -0.12 eV per atom
1.0
0.000 3.307 3.307
3.307 0.000 3.307
3.307 3.307 0.000
Np Sc Al Os
1 1 1 1
direct
0.000 0.000 0.000
0.750 0.750 0.750
0.500 0.500 0.500
0.250 0.250 0.250

8.
NpAlSi2Os | Alexandria | GGA-PBE | optimized geometry; formation energy (no corrections) = -1.818 eV/f.u.; magnetic moment = 3.65 μB per formula unit
1.0
-1.957 1.957 5.376
1.957 -1.957 5.376
1.957 1.957 -5.376
Np Al Si Os
1 1 2 1
direct
0.000 0.000 0.000
0.250 0.750 0.500
0.391 0.391 0.000
0.609 0.609 0.000
0.750 0.250 0.500

9.
NpAlTcOs | Alexandria | GGA-PBE | optimized geometry; magnetic moment = 2.39 μB per formula unit; DFT formation energy = -0.13 eV per atom
1.0
0.000 3.219 3.219
3.219 0.000 3.219
3.219 3.219 0.000
Np Al Tc Os
1 1 1 1
direct
0.000 0.000 0.000
0.500 0.500 0.500
0.250 0.250 0.250
0.750 0.750 0.750

10.
NpPa2Al | Alexandria | GGA-PBE | optimized geometry; magnetic moment = 3.89 μB per formula unit; DFT formation energy = 0.02 eV per atom
1.0
4.609 0.000 0.000
0.000 4.609 0.000
0.000 0.000 4.183
Np Pa Al
1 2 1
direct
0.000 0.000 0.000
0.000 0.500 0.500
0.500 0.000 0.500
0.500 0.500 0.000

11.
NpPaAl | Alexandria | GGA-PBE | optimized geometry; magnetic moment = 2.75 μB per formula unit; DFT formation energy = 0.06 eV per atom
1.0
4.932 0.000 0.000
-2.466 4.272 0.000
0.000 0.000 2.854
Np Pa Al
1 1 1
direct
0.000 0.000 0.000
0.333 0.667 0.000
0.667 0.333 0.500

12.
NpPa2Al9 | Alexandria | GGA-PBE | optimized geometry; magnetic moment = 4.47 μB per formula unit; DFT formation energy = -0.20 eV per atom
1.0
4.288 0.000 0.000
0.000 4.288 0.000
0.000 0.000 12.856
Np Pa Al
1 2 9
direct
0.000 0.000 0.000
0.000 0.000 0.332
0.000 0.000 0.668
0.000 0.500 0.163
0.000 0.500 0.500
0.000 0.500 0.837
0.500 0.000 0.163
0.500 0.000 0.500
0.500 0.000 0.837
0.500 0.500 0.000
0.500 0.500 0.332
0.500 0.500 0.668

13.
NpPaAl | Alexandria | GGA-PBE | optimized geometry; magnetic moment = 1.91 μB per formula unit; DFT formation energy = 0.07 eV per atom
1.0
5.519 0.000 0.000
0.000 8.393 0.000
-2.951 0.000 5.486
Np Pa Al
4 4 4
direct
0.220 0.014 0.176
0.220 0.486 0.676
0.780 0.514 0.324
0.780 0.986 0.824
0.380 0.173 0.895
0.380 0.327 0.395
0.620 0.673 0.605
0.620 0.827 0.105
0.135 0.645 0.103
0.135 0.855 0.603
0.865 0.145 0.397
0.865 0.355 0.897

14.
NpPa3Al8 | Alexandria | GGA-PBE | optimized geometry; magnetic moment = 5.67 μB per formula unit; DFT formation energy = -0.28 eV per atom
1.0
5.580 0.000 0.000
-2.790 4.833 0.000
0.000 0.000 8.690
Np Pa Al
1 3 8
direct
0.000 0.000 0.000
0.000 0.000 0.317
0.667 0.333 0.495
0.667 0.333 0.829
0.160 0.320 0.661
0.160 0.840 0.661
0.333 0.667 0.410
0.333 0.667 0.911
0.506 0.013 0.159
0.506 0.494 0.159
0.680 0.840 0.661
0.987 0.494 0.159

15.
NpPa2Al | Alexandria | GGA-PBE | optimized geometry; magnetic moment = 0.00 μB per formula unit; DFT formation energy = 0.30 eV per atom
1.0
1.791 1.034 8.086
-1.791 1.034 8.086
0.000 -2.068 8.086
Np Pa Al
1 2 1
direct
0.000 0.000 0.000
0.265 0.265 0.265
0.735 0.735 0.735
0.500 0.500 0.500

16.
NpPa2Al | Alexandria | GGA-PBE | optimized geometry; magnetic moment = 3.38 μB per formula unit; DFT formation energy = 0.12 eV per atom
1.0
3.680 0.000 0.000
0.000 3.680 0.000
0.000 0.000 6.492
Np Pa Al
1 2 1
direct
0.000 0.000 0.000
0.500 0.500 0.243
0.500 0.500 0.757
0.000 0.000 0.500

17.
NpPaAl | Alexandria | GGA-PBE | optimized geometry; magnetic moment = 4.97 μB per formula unit; DFT formation energy = 0.11 eV per atom
1.0
-1.866 1.866 4.693
1.866 -1.866 4.693
1.866 1.866 -4.693
Np Pa Al
1 1 1
direct
0.000 0.000 0.000
0.653 0.653 0.000
0.327 0.327 0.000

18.
PuNpPaAl | Alexandria | GGA-PBE | optimized geometry; magnetic moment = 1.58 μB per formula unit; DFT formation energy = 0.16 eV per atom
1.0
0.000 3.478 3.478
3.478 0.000 3.478
3.478 3.478 0.000
Pu Np Pa Al
1 1 1 1
direct
0.000 0.000 0.000
0.500 0.500 0.500
0.250 0.250 0.250
0.750 0.750 0.750

19.
NpPa2Al2Ru5 | Alexandria | GGA-PBE | optimized geometry; magnetic moment = 3.00 μB per formula unit; DFT formation energy = -0.37 eV per atom
1.0
10.000 0.000 0.000
0.000 10.000 0.000
0.000 0.000 3.539
Np Pa Al Ru
2 4 4 10
direct
0.000 0.000 0.000
0.500 0.500 0.000
0.173 0.327 0.000
0.327 0.827 0.000
0.673 0.173 0.000
0.827 0.673 0.000
0.124 0.624 0.000
0.376 0.124 0.000
0.624 0.876 0.000
0.876 0.376 0.000
0.000 0.500 0.500
0.076 0.795 0.500
0.205 0.076 0.500
0.295 0.576 0.500
0.424 0.295 0.500
0.500 0.000 0.500
0.576 0.705 0.500
0.705 0.424 0.500
0.795 0.924 0.500
0.924 0.205 0.500

20.
NpAlPb2 | Alexandria | GGA-PBE | optimized geometry; magnetic moment = 4.14 μB per formula unit; DFT formation energy = 0.13 eV per atom
1.0
4.676 0.000 0.000
0.000 4.676 0.000
0.000 0.000 4.620
Np Al Pb
1 1 2
direct
0.000 0.000 0.000
0.500 0.500 0.000
0.000 0.500 0.500
0.500 0.000 0.500

Number 1: calculated density 6.814 g cm⁻³. Number 2: calculated density 5.516 g cm⁻³. Number 3: calculated density 11.592 g cm⁻³. Number 4: calculated density 15.030 g cm⁻³. Number 5: calculated density 11.670 g cm⁻³. Number 6: calculated density 13.816 g cm⁻³. Number 7: calculated density 11.461 g cm⁻³. Number 8: calculated density 10.289 g cm⁻³. Number 9: calculated density 13.746 g cm⁻³. Number 10: calculated density 13.567 g cm⁻³. Number 11: calculated density 13.670 g cm⁻³. Number 12: calculated density 6.617 g cm⁻³. Number 13: calculated density 12.938 g cm⁻³. Number 14: calculated density 8.120 g cm⁻³. Number 15: calculated density 13.423 g cm⁻³. Number 16: calculated density 13.712 g cm⁻³. Number 17: calculated density 12.576 g cm⁻³. Number 18: calculated density 14.582 g cm⁻³. Number 19: calculated density 11.807 g cm⁻³. Number 20: calculated density 11.154 g cm⁻³.